Density functional theory data (PBE-GGA) for Dy2Er2Ru3 after structural relaxation.

Offset from the most stable computed form, eV per formula unit: 0.40

Cell: 3.4065 6.0839 7.5857 Å, 97.38 90.05 106.08°
Space group P-1 (No. 2)
Inequivalent atoms, fractional coordinates:
Dy1 0.0761 0.1435 0.2045 [2 per cell]
Er1 0.1790 0.3573 0.6608 [2 per cell]
Ru1 0.3419 0.6910 0.0546 [2 per cell]
Ru2 0.5000 0.0000 0.5000 [1 per cell]

***

Density functional theory data (PBE-GGA) for DyErRu4 after structural relaxation.

E, Ry per atom: -0.59016

Cell: 7.5275 7.5275 7.5275 Å, 90.00 90.00 90.00°
Space group F-43m (No. 216)
Inequivalent atoms, fractional coordinates:
Dy1 0.0000 0.0000 0.0000 [4 per cell]
Er1 0.2500 0.2500 0.7500 [4 per cell]
Ru1 0.1249 0.1249 0.3751 [16 per cell]

***

Density functional theory data (PBE-GGA) for DyEr2Ru after structural relaxation.

Offset from the most stable computed form, eV per formula unit: 1.74

Cell: 3.4636 3.4636 31.9188 Å, 90.00 90.00 120.00°
Space group R-3m (No. 166, hexagonal axes)
Inequivalent atoms, fractional coordinates:
Dy1 0.0000 0.0000 0.0000 [3 per cell]
Er1 0.0000 0.0000 0.1072 [6 per cell]
Ru1 0.0000 0.0000 0.5000 [3 per cell]

***

Density functional theory data (PBE-GGA) for Dy3Er2Ru3 after structural relaxation.

E, Ry per atom: -0.48869

Cell: 3.4532 5.0877 20.5250 Å, 90.00 90.00 90.00°
Space group Immm (No. 71)
Inequivalent atoms, fractional coordinates:
Dy1 0.0000 0.0000 0.0000 [2 per cell]
Dy2 0.0000 0.5000 0.1111 [4 per cell]
Er1 0.0000 0.0000 0.2192 [4 per cell]
Ru1 0.0000 0.0000 0.5000 [2 per cell]
Ru2 0.0000 0.5000 0.3843 [4 per cell]

***

Density functional theory data (PBE-GGA) for DyErRu after structural relaxation.

Offset from the most stable computed form, eV per formula unit: 0.17

Cell: 9.5029 9.5170 13.4628 Å, 90.00 90.00 90.00°
Space group Fddd (No. 70, origin choice 2)
Inequivalent atoms, fractional coordinates:
Dy1 0.1250 0.1250 0.2506 [16 per cell]
Er1 0.1250 0.1250 0.5006 [16 per cell]
Ru1 0.1250 0.3742 0.6250 [16 per cell]

***

Density functional theory data (PBE-GGA) for DyEr3Ru after structural relaxation.

Offset from the most stable computed form, eV per formula unit: 0.00

Cell: 11.6225 8.4571 7.9758 Å, 90.00 133.14 90.00°
Space group C2/m (No. 12)
Inequivalent atoms, fractional coordinates:
Dy1 0.0533 0.0000 0.3459 [4 per cell]
Er1 0.0540 0.5000 0.2582 [4 per cell]
Er2 0.2489 0.3033 0.7944 [8 per cell]
Ru1 0.2505 0.0000 0.8783 [4 per cell]

***

Density functional theory data (PBE-GGA) for Dy5ErRu6 after structural relaxation.

E, Ry per atom: -0.53410

Cell: 8.3011 14.3575 4.8148 Å, 90.00 125.31 90.00°
Space group C2/m (No. 12)
Inequivalent atoms, fractional coordinates:
Dy1 0.0000 0.0000 0.0000 [2 per cell]
Dy2 0.0000 0.1667 0.5000 [4 per cell]
Dy3 0.0000 0.3339 0.0000 [4 per cell]
Er1 0.0000 0.5000 0.5000 [2 per cell]
Ru1 0.2492 0.5000 0.2492 [4 per cell]
Ru2 0.2503 0.1663 0.2503 [8 per cell]

***

Density functional theory data (PBE-GGA) for Dy3ErRu3 after structural relaxation.

Offset from the most stable computed form, eV per formula unit: 0.00

Cell: 9.5006 9.5006 5.8300 Å, 90.00 90.00 120.00°
Space group R3m (No. 160, hexagonal axes)
Inequivalent atoms, fractional coordinates:
Dy1 0.0574 0.5287 0.0000 [9 per cell]
Er1 0.0000 0.0000 0.8859 [3 per cell]
Ru1 0.0001 0.5001 0.4707 [9 per cell]

***

Density functional theory data (PBE-GGA) for Dy4ErRu5 after structural relaxation.

E, Ry per atom: -0.53421

Cell: 3.3954 3.3954 16.9304 Å, 90.00 90.00 90.00°
Space group P4/mmm (No. 123)
Inequivalent atoms, fractional coordinates:
Dy1 0.0000 0.0000 0.1002 [2 per cell]
Dy2 0.0000 0.0000 0.3009 [2 per cell]
Er1 0.0000 0.0000 0.5000 [1 per cell]
Ru1 0.5000 0.5000 0.0000 [1 per cell]
Ru2 0.5000 0.5000 0.2005 [2 per cell]
Ru3 0.5000 0.5000 0.4011 [2 per cell]

***

Density functional theory data (PBE-GGA) for DyErRu after structural relaxation.

Offset from the most stable computed form, eV per formula unit: 0.17

Cell: 6.7271 6.7271 6.7271 Å, 90.00 90.00 90.00°
Space group F-43m (No. 216)
Inequivalent atoms, fractional coordinates:
Dy1 0.0000 0.0000 0.0000 [4 per cell]
Er1 0.0000 0.0000 0.5000 [4 per cell]
Ru1 0.2500 0.2500 0.7500 [4 per cell]

***

Density functional theory data (PBE-GGA) for DyEr2Ru2 after structural relaxation.

Offset from the most stable computed form, eV per formula unit: 0.00

Cell: 3.3870 20.2001 3.3620 Å, 90.00 90.00 90.00°
Space group Cmmm (No. 65)
Inequivalent atoms, fractional coordinates:
Dy1 0.0000 0.0000 0.0000 [2 per cell]
Er1 0.0000 0.1658 0.0000 [4 per cell]
Ru1 0.0000 0.4107 0.5000 [4 per cell]

***

Density functional theory data (PBE-GGA) for DyEr2Ru2 after structural relaxation.

Offset from the most stable computed form, eV per formula unit: 0.49

Cell: 5.4042 4.3932 10.1437 Å, 90.00 98.28 90.00°
Space group P2_1/m (No. 11)
Inequivalent atoms, fractional coordinates:
Dy1 0.0719 0.2500 0.2796 [2 per cell]
Er1 0.2548 0.2500 0.9731 [2 per cell]
Er2 0.3887 0.2500 0.6128 [2 per cell]
Ru1 0.1354 0.7500 0.4538 [2 per cell]
Ru2 0.2525 0.7500 0.1506 [2 per cell]